# 1
A relaxed structure of ZnPtRh2. Source: Alexandria via LeMat-Bulk, functional GGA-PBEsol.

Structure (CIF):
```
data_ZnPtRh2
_chemical_formula_sum 'Zn1 Pt1 Rh2'
_cell_length_a 2.720
_cell_length_b 3.772
_cell_length_c 5.371
_cell_angle_alpha 90.00
_cell_angle_beta 90.00
_cell_angle_gamma 90.00
_symmetry_space_group_name_H-M 'P m m 2'
_symmetry_Int_Tables_number 25
loop_
_symmetry_equiv_pos_as_xyz
'x,y,z'
'-x,-y,z'
'-x,y,z'
'x,-y,z'
loop_
_atom_site_label
_atom_site_fract_x
_atom_site_fract_y
_atom_site_fract_z
_atom_site_occupancy
Zn1 0.000 0.000 0.000 1
Pt1 0.500 0.500 0.242 1
Rh1 0.000 0.000 0.513 1
Rh2 0.500 0.500 0.742 1
```

Computed properties:
The value obtained for the formation energy is -0.183 eV per atom. The crystal system is orthorhombic. The calculation puts the density of states at the Fermi level at 3.98 states/eV/f.u.



# 2
A relaxed structure of CrInSe. Source: Alexandria via LeMat-Bulk, functional GGA-PBEsol.

Structure (CIF):
```
data_CrInSe
_chemical_formula_sum 'Cr2 In2 Se2'
_cell_length_a 3.055
_cell_length_b 3.055
_cell_length_c 11.271
_cell_angle_alpha 90.00
_cell_angle_beta 90.00
_cell_angle_gamma 90.00
_symmetry_space_group_name_H-M 'I 4 m m'
_symmetry_Int_Tables_number 107
_symmetry_space_group_name_Hall 'I 4 -2'
loop_
_atom_site_label
_atom_site_fract_x
_atom_site_fract_y
_atom_site_fract_z
_atom_site_occupancy
Cr1 0.000 0.000 0.000 1
In1 0.000 0.000 0.672 1
Se1 0.000 0.000 0.397 1
```

Computed properties:
The uncorrected formation energy comes out at 0.01 eV/atom. The crystal system is tetragonal. The calculation puts the density of states at the Fermi level at 1.72 states/eV/f.u.